# 1
The following is a GGA-PBE calculation of crystalline Cs2AcPtO4 at its relaxed geometry, from Alexandria.

Geometry as POSCAR:
```
Cs2AcPtO4
1.0
0.000 7.349 12.487
3.309 0.000 12.487
3.309 7.349 0.000
Cs Ac Pt O
4 2 2 8
direct
0.062 0.062 0.688 Cs
0.312 0.312 0.938 Cs
0.688 0.688 0.062 Cs
0.938 0.938 0.312 Cs
0.125 0.125 0.125 Ac
0.875 0.875 0.875 Ac
0.375 0.375 0.375 Pt
0.625 0.625 0.625 Pt
0.060 0.690 0.500 O
0.249 0.500 0.690 O
0.310 0.940 0.751 O
0.500 0.249 0.060 O
0.500 0.751 0.940 O
0.690 0.060 0.249 O
0.751 0.500 0.310 O
0.940 0.310 0.500 O
```

Values from the calculation:
Total energy   -5.357 eV/atom
Total magnetization   0.00 μB/f.u.
Formation energy from raw total energies   -1.40 eV/atom

***

# 2
The following is a GGA-PBE calculation of crystalline CsAc4Pt3O12 at its relaxed geometry, from Alexandria.

Geometry as POSCAR:
```
CsAc4Pt3O12
1.0
-4.449 4.449 4.449
4.449 -4.449 4.449
4.449 4.449 -4.449
Cs Ac Pt O
1 4 3 12
direct
0.000 0.000 0.000 Cs
0.000 0.000 0.500 Ac
0.000 0.500 0.000 Ac
0.500 0.000 0.000 Ac
0.500 0.500 0.500 Ac
0.000 0.500 0.500 Pt
0.500 0.000 0.500 Pt
0.500 0.500 0.000 Pt
0.151 0.487 0.336 O
0.151 0.814 0.664 O
0.186 0.336 0.849 O
0.336 0.151 0.487 O
0.336 0.849 0.186 O
0.487 0.336 0.151 O
0.513 0.664 0.849 O
0.664 0.151 0.814 O
0.664 0.849 0.513 O
0.814 0.664 0.151 O
0.849 0.186 0.336 O
0.849 0.513 0.664 O
```

Values from the calculation:
Total energy   -6.668 eV/atom
Total magnetization   5.09 μB/f.u.
Formation energy from raw total energies   -1.92 eV/atom

***

# 3
The following is a GGA-PBE calculation of crystalline CsAcPtO3 at its relaxed geometry, from Alexandria.

Geometry as POSCAR:
```
CsAcPtO3
1.0
7.030 -2.035 0.000
7.030 2.035 0.000
-2.259 0.000 8.238
Cs Ac Pt O
2 2 2 6
direct
0.139 0.139 0.062 Cs
0.861 0.861 0.938 Cs
0.150 0.150 0.580 Ac
0.850 0.850 0.420 Ac
0.490 0.490 0.707 Pt
0.510 0.510 0.293 Pt
0.008 0.008 0.329 O
0.334 0.334 0.623 O
0.356 0.356 0.235 O
0.644 0.644 0.765 O
0.666 0.666 0.377 O
0.992 0.992 0.671 O
```

Values from the calculation:
Total energy   -6.200 eV/atom
Total magnetization   0.00 μB/f.u.
Formation energy from raw total energies   -1.89 eV/atom

***

# 4
The following is a GGA-PBE calculation of crystalline Cs3AcPu2O9 at its relaxed geometry, from Alexandria.

Geometry as POSCAR:
```
Cs3AcPu2O9
1.0
6.356 0.000 0.000
-3.178 5.504 0.000
0.000 0.000 7.811
Cs Ac Pu O
3 1 2 9
direct
0.000 0.000 0.000 Cs
0.333 0.667 0.664 Cs
0.667 0.333 0.336 Cs
0.000 0.000 0.500 Ac
0.333 0.667 0.154 Pu
0.667 0.333 0.846 Pu
0.000 0.500 0.000 O
0.184 0.368 0.307 O
0.184 0.816 0.307 O
0.368 0.184 0.693 O
0.500 0.000 0.000 O
0.500 0.500 0.000 O
0.632 0.816 0.307 O
0.816 0.184 0.693 O
0.816 0.632 0.693 O
```

Values from the calculation:
Total energy   -7.793 eV/atom
Total magnetization   4.00 μB/f.u.
Formation energy from raw total energies   -2.46 eV/atom

***

# 5
The following is a GGA-PBE calculation of crystalline Cs2Ac2PuO6 at its relaxed geometry, from Alexandria.

Geometry as POSCAR:
```
Cs2Ac2PuO6
1.0
3.283 -5.631 0.000
3.283 5.631 0.000
-1.941 0.000 7.079
Cs Ac Pu O
2 2 1 6
direct
0.164 0.836 0.000 Cs
0.836 0.164 0.000 Cs
0.335 0.665 0.500 Ac
0.665 0.335 0.500 Ac
0.000 0.000 0.500 Pu
0.041 0.353 0.656 O
0.244 0.244 0.338 O
0.353 0.041 0.656 O
0.647 0.959 0.344 O
0.756 0.756 0.662 O
0.959 0.647 0.344 O
```

Values from the calculation:
Total energy   -7.560 eV/atom
Total magnetization   4.00 μB/f.u.
Formation energy from raw total energies   -2.65 eV/atom

***

# 6
The following is a GGA-PBE calculation of crystalline Cs2AcPu3O12 at its relaxed geometry, from Alexandria.

Geometry as POSCAR:
```
Cs2AcPu3O12
1.0
4.116 2.376 5.725
-4.116 2.376 5.725
0.000 -4.753 5.725
Cs Ac Pu O
2 1 3 12
direct
0.110 0.110 0.110 Cs
0.890 0.890 0.890 Cs
0.500 0.500 0.500 Ac
0.000 0.500 0.500 Pu
0.500 0.000 0.500 Pu
0.500 0.500 0.000 Pu
0.094 0.618 0.618 O
0.232 0.232 0.586 O
0.232 0.586 0.232 O
0.382 0.382 0.906 O
0.382 0.906 0.382 O
0.414 0.768 0.768 O
0.586 0.232 0.232 O
0.618 0.094 0.618 O
0.618 0.618 0.094 O
0.768 0.414 0.768 O
0.768 0.768 0.414 O
0.906 0.382 0.382 O
```

Values from the calculation:
Total energy   -8.585 eV/atom
Total magnetization   5.00 μB/f.u.
Formation energy from raw total energies   -2.57 eV/atom

***

# 7
The following is a GGA-PBE calculation of crystalline CsAcPu2O7 at its relaxed geometry, from Alexandria.

Geometry as POSCAR:
```
CsAcPu2O7
1.0
4.325 0.000 0.000
0.000 4.325 0.000
0.000 0.000 11.244
Cs Ac Pu O
1 1 2 7
direct
0.000 0.000 0.000 Cs
0.000 0.000 0.500 Ac
0.500 0.500 0.309 Pu
0.500 0.500 0.691 Pu
0.000 0.500 0.348 O
0.000 0.500 0.652 O
0.500 0.000 0.348 O
0.500 0.000 0.652 O
0.500 0.500 0.140 O
0.500 0.500 0.500 O
0.500 0.500 0.860 O
```

Values from the calculation:
Total energy   -9.012 eV/atom
Total magnetization   6.00 μB/f.u.
Formation energy from raw total energies   -2.80 eV/atom

***

# 8
The following is a GGA-PBE calculation of crystalline CsAc2PuO6 at its relaxed geometry, from Alexandria.

Geometry as POSCAR:
```
CsAc2PuO6
1.0
3.203 1.849 5.677
-3.203 1.849 5.677
0.000 -3.699 5.677
Cs Ac Pu O
1 2 1 6
direct
0.000 0.000 0.000 Cs
0.231 0.231 0.231 Ac
0.751 0.751 0.751 Ac
0.546 0.546 0.546 Pu
0.178 0.493 0.789 O
0.423 0.909 0.555 O
0.493 0.789 0.178 O
0.555 0.423 0.909 O
0.789 0.178 0.493 O
0.909 0.555 0.423 O
```

Values from the calculation:
Total energy   -8.176 eV/atom
Total magnetization   3.00 μB/f.u.
Formation energy from raw total energies   -2.86 eV/atom

***

# 9
The following is a GGA-PBE calculation of crystalline CsAcPuO4 at its relaxed geometry, from Alexandria.

Geometry as POSCAR:
```
CsAcPuO4
1.0
-3.588 3.968 5.323
3.588 -3.968 5.323
3.588 3.968 -5.323
Cs Ac Pu O
2 2 2 8
direct
0.384 0.134 0.250 Cs
0.616 0.866 0.750 Cs
0.000 0.500 0.500 Ac
0.500 0.500 0.000 Ac
0.000 0.000 0.500 Pu
0.000 0.500 0.000 Pu
0.163 0.735 0.428 O
0.194 0.265 0.928 O
0.208 0.246 0.538 O
0.208 0.670 0.962 O
0.792 0.330 0.038 O
0.792 0.754 0.462 O
0.806 0.735 0.072 O
0.837 0.265 0.572 O
```

Values from the calculation:
Total energy   -8.319 eV/atom
Total magnetization   4.00 μB/f.u.
Formation energy from raw total energies   -2.73 eV/atom

***

# 10
The following is a GGA-PBE calculation of crystalline Cs2AcPuO6 at its relaxed geometry, from Alexandria.

Geometry as POSCAR:
```
Cs2AcPuO6
1.0
0.000 4.565 4.565
4.565 0.000 4.565
4.565 4.565 0.000
Cs Ac Pu O
2 1 1 6
direct
0.250 0.250 0.250 Cs
0.750 0.750 0.750 Cs
0.000 0.000 0.000 Ac
0.500 0.500 0.500 Pu
0.277 0.277 0.723 O
0.277 0.723 0.277 O
0.277 0.723 0.723 O
0.723 0.277 0.277 O
0.723 0.277 0.723 O
0.723 0.723 0.277 O
```

Values from the calculation:
Total energy   -7.481 eV/atom
Total magnetization   1.00 μB/f.u.
Formation energy from raw total energies   -2.49 eV/atom

***

# 11
The following is a GGA-PBE calculation of crystalline Cs3Ac2PuO6 at its relaxed geometry, from Alexandria.

Geometry as POSCAR:
```
Cs3Ac2PuO6
1.0
3.316 -5.742 0.000
3.316 5.742 0.000
-2.206 0.000 6.974
Cs Ac Pu O
3 2 1 6
direct
0.000 0.000 0.000 Cs
0.335 0.665 0.000 Cs
0.665 0.335 0.000 Cs
0.167 0.833 0.500 Ac
0.833 0.167 0.500 Ac
0.500 0.500 0.500 Pu
0.130 0.444 0.332 O
0.242 0.242 0.669 O
0.444 0.130 0.332 O
0.556 0.870 0.668 O
0.758 0.758 0.331 O
0.870 0.556 0.668 O
```

Values from the calculation:
Total energy   -6.972 eV/atom
Total magnetization   4.96 μB/f.u.
Formation energy from raw total energies   -2.40 eV/atom

***

# 12
The following is a GGA-PBE calculation of crystalline Cs2AcPu2O7 at its relaxed geometry, from Alexandria.

Geometry as POSCAR:
```
Cs2AcPu2O7
1.0
-2.201 2.201 11.919
2.201 -2.201 11.919
2.201 2.201 -11.919
Cs Ac Pu O
2 1 2 7
direct
0.193 0.193 0.000 Cs
0.807 0.807 0.000 Cs
0.000 0.000 0.000 Ac
0.411 0.411 0.000 Pu
0.589 0.589 0.000 Pu
0.073 0.573 0.500 O
0.326 0.326 0.000 O
0.427 0.927 0.500 O
0.500 0.500 0.000 O
0.573 0.073 0.500 O
0.674 0.674 0.000 O
0.927 0.427 0.500 O
```

Values from the calculation:
Total energy   -8.467 eV/atom
Total magnetization   7.00 μB/f.u.
Formation energy from raw total energies   -2.70 eV/atom

***

# 13
The following is a GGA-PBE calculation of crystalline CsAcRe2O8 at its relaxed geometry, from Alexandria.

Geometry as POSCAR:
```
CsAcRe2O8
1.0
6.284 0.000 0.000
-3.142 5.442 0.000
0.000 0.000 8.682
Cs Ac Re O
1 1 2 8
direct
0.000 0.000 0.000 Cs
0.000 0.000 0.500 Ac
0.333 0.667 0.753 Re
0.667 0.333 0.247 Re
0.176 0.354 0.680 O
0.178 0.824 0.680 O
0.333 0.667 0.956 O
0.354 0.178 0.320 O
0.646 0.822 0.680 O
0.667 0.333 0.044 O
0.822 0.176 0.320 O
0.824 0.646 0.320 O
```

Values from the calculation:
Total energy   -7.802 eV/atom
Total magnetization   2.03 μB/f.u.
Formation energy from raw total energies   -2.01 eV/atom

***

# 14
The following is a GGA-PBE calculation of crystalline Cs3Ac3ReO8 at its relaxed geometry, from Alexandria.

Geometry as POSCAR:
```
Cs3Ac3ReO8
1.0
3.728 2.152 6.991
-3.728 2.152 6.991
0.000 -4.305 6.991
Cs Ac Re O
3 3 1 8
direct
0.000 0.500 0.500 Cs
0.500 0.000 0.500 Cs
0.500 0.500 0.000 Cs
0.000 0.000 0.500 Ac
0.000 0.500 0.000 Ac
0.500 0.000 0.000 Ac
0.500 0.500 0.500 Re
0.225 0.225 0.225 O
0.266 0.695 0.695 O
0.305 0.305 0.734 O
0.305 0.734 0.305 O
0.695 0.266 0.695 O
0.695 0.695 0.266 O
0.734 0.305 0.305 O
0.775 0.775 0.775 O
```

Values from the calculation:
Total energy   -6.668 eV/atom
Total magnetization   2.99 μB/f.u.
Formation energy from raw total energies   -2.20 eV/atom

***

# 15
The following is a GGA-PBE calculation of crystalline Cs3Ac3RhO8 at its relaxed geometry, from Alexandria.

Geometry as POSCAR:
```
Cs3Ac3RhO8
1.0
3.720 2.148 6.976
-3.720 2.148 6.976
0.000 -4.296 6.976
Cs Ac Rh O
3 3 1 8
direct
0.000 0.500 0.500 Cs
0.500 0.000 0.500 Cs
0.500 0.500 0.000 Cs
0.000 0.000 0.500 Ac
0.000 0.500 0.000 Ac
0.500 0.000 0.000 Ac
0.500 0.500 0.500 Rh
0.225 0.225 0.225 O
0.263 0.697 0.697 O
0.303 0.303 0.737 O
0.303 0.737 0.303 O
0.697 0.263 0.697 O
0.697 0.697 0.263 O
0.737 0.303 0.303 O
0.775 0.775 0.775 O
```

Values from the calculation:
Total energy   -6.204 eV/atom
Total magnetization   1.06 μB/f.u.
Formation energy from raw total energies   -2.08 eV/atom

***

# 16
The following is a GGA-PBE calculation of crystalline CsAc2RhO5 at its relaxed geometry, from Alexandria.

Geometry as POSCAR:
```
CsAc2RhO5
1.0
7.311 0.000 0.000
0.000 7.311 0.000
0.000 0.000 6.032
Cs Ac Rh O
2 4 2 10
direct
0.000 0.000 0.000 Cs
0.500 0.500 0.000 Cs
0.181 0.319 0.500 Ac
0.319 0.819 0.500 Ac
0.681 0.181 0.500 Ac
0.819 0.681 0.500 Ac
0.000 0.500 0.000 Rh
0.500 0.000 0.000 Rh
0.000 0.000 0.500 O
0.127 0.627 0.248 O
0.127 0.627 0.752 O
0.373 0.127 0.248 O
0.373 0.127 0.752 O
0.500 0.500 0.500 O
0.627 0.873 0.248 O
0.627 0.873 0.752 O
0.873 0.373 0.248 O
0.873 0.373 0.752 O
```

Values from the calculation:
Total energy   -6.802 eV/atom
Total magnetization   2.00 μB/f.u.
Formation energy from raw total energies   -2.22 eV/atom

***

# 17
The following is a GGA-PBE calculation of crystalline Cs2AcRh2O7 at its relaxed geometry, from Alexandria.

Geometry as POSCAR:
```
Cs2AcRh2O7
1.0
-2.056 2.056 11.717
2.056 -2.056 11.717
2.056 2.056 -11.717
Cs Ac Rh O
2 1 2 7
direct
0.184 0.184 0.000 Cs
0.816 0.816 0.000 Cs
0.000 0.000 0.000 Ac
0.413 0.413 0.000 Rh
0.587 0.587 0.000 Rh
0.074 0.574 0.500 O
0.333 0.333 0.000 O
0.426 0.926 0.500 O
0.500 0.500 0.000 O
0.574 0.074 0.500 O
0.667 0.667 0.000 O
0.926 0.426 0.500 O
```

Values from the calculation:
Total energy   -6.028 eV/atom
Total magnetization   2.91 μB/f.u.
Formation energy from raw total energies   -1.43 eV/atom

***

# 18
The following is a GGA-PBE calculation of crystalline CsAcRhO3 at its relaxed geometry, from Alexandria.

Geometry as POSCAR:
```
CsAcRhO3
1.0
7.076 -1.976 0.000
7.076 1.976 0.000
-2.236 0.000 8.238
Cs Ac Rh O
2 2 2 6
direct
0.138 0.138 0.061 Cs
0.862 0.862 0.939 Cs
0.151 0.151 0.578 Ac
0.849 0.849 0.422 Ac
0.491 0.491 0.698 Rh
0.509 0.509 0.302 Rh
0.009 0.009 0.307 O
0.334 0.334 0.617 O
0.356 0.356 0.237 O
0.644 0.644 0.763 O
0.666 0.666 0.383 O
0.991 0.991 0.693 O
```

Values from the calculation:
Total energy   -6.426 eV/atom
Total magnetization   0.13 μB/f.u.
Formation energy from raw total energies   -1.90 eV/atom

***

# 19
The following is a GGA-PBE calculation of crystalline Cs4Ac3RhO8 at its relaxed geometry, from Alexandria.

Geometry as POSCAR:
```
Cs4Ac3RhO8
1.0
3.759 2.170 6.924
-3.759 2.170 6.924
0.000 -4.341 6.924
Cs Ac Rh O
4 3 1 8
direct
0.000 0.000 0.000 Cs
0.000 0.500 0.500 Cs
0.500 0.000 0.500 Cs
0.500 0.500 0.000 Cs
0.000 0.000 0.500 Ac
0.000 0.500 0.000 Ac
0.500 0.000 0.000 Ac
0.500 0.500 0.500 Rh
0.226 0.226 0.226 O
0.250 0.710 0.710 O
0.290 0.290 0.750 O
0.290 0.750 0.290 O
0.710 0.250 0.710 O
0.710 0.710 0.250 O
0.750 0.290 0.290 O
0.774 0.774 0.774 O
```

Values from the calculation:
Total energy   -5.880 eV/atom
Total magnetization   0.00 μB/f.u.
Formation energy from raw total energies   -1.96 eV/atom